# 1
# KZr2Co | Alexandria | PBE-GGA | relaxed
data_KZr2Co
_space_group_name_H-M_alt 'I m m m'
_space_group_IT_number 71
_space_group_name_Hall '-I 2 2'
_cell_length_a 3.105
_cell_length_b 5.893
_cell_length_c 10.696
_cell_angle_alpha 90.00
_cell_angle_beta 90.00
_cell_angle_gamma 90.00
loop_
_atom_site_label
_atom_site_fract_x
_atom_site_fract_y
_atom_site_fract_z
K1 0.000 0.000 0.000
Zr1 0.000 0.500 0.183
Co1 0.000 0.000 0.500
# Energy relative to the lowest polymorph listed for this composition in meV/atom: 325
# M_tot in μB/f.u.: 0.0
# Formation energy in meV per atom: 587

=====

# 2
# Fe13Co3 | Alexandria | PBE-GGA | relaxed
data_Fe13Co3
_space_group_name_H-M_alt 'A m m 2'
_space_group_IT_number 38
_cell_length_a 5.684
_cell_length_b 8.063
_cell_length_c 8.058
_cell_angle_alpha 90.00
_cell_angle_beta 90.00
_cell_angle_gamma 90.00
loop_
_space_group_symop_operation_xyz
'x,y,z'
'-x,-y,z'
'-x,y,z'
'x,-y,z'
'x,y+1/2,z+1/2'
'-x,-y+1/2,z+1/2'
'-x,y+1/2,z+1/2'
'x,-y+1/2,z+1/2'
loop_
_atom_site_label
_atom_site_fract_x
_atom_site_fract_y
_atom_site_fract_z
Fe1 0.000 0.000 0.000
Fe2 0.000 0.000 0.496
Fe3 0.000 0.249 0.248
Fe4 0.251 0.000 0.749
Fe5 0.251 0.249 0.998
Fe6 0.500 0.000 0.497
Fe7 0.500 0.248 0.248
Co1 0.250 0.000 0.248
Co2 0.500 0.000 0.997
# Energy relative to the lowest polymorph listed for this composition in meV/atom: 8
# M_tot in μB/f.u.: 37.3
# Formation energy in meV per atom: -21

=====

- What is the formula in the second record?
  Fe13Co3